Entry 1:
This record from the Alexandria database describes crystalline La3In9Rh2 at its relaxed geometry. The functional is PBE.

It has space group Immm (No. 71), with a = 4.776 Å, b = 10.670 Å, c = 13.486 Å, α = 90.00°, β = 90.00° and γ = 90.00°. The inequivalent atoms are La at (0.000, 0.000, 0.000), La at (0.000, 0.000, 0.309), In at (0.000, 0.283, 0.131), In at (0.000, 0.363, 0.350), In at (0.000, 0.500, 0.000) and Rh at (0.000, 0.172, 0.500).

Entry 2:
This record from the Alexandria database describes crystalline LaIn2Rh2 at its relaxed geometry. The functional is PBE.

It has space group P4/mbm (No. 127), with a = 7.977 Å, b = 7.977 Å, c = 3.228 Å, α = 90.00°, β = 90.00° and γ = 90.00°. The inequivalent atoms are La at (0.000, 0.000, 0.000), In at (0.134, 0.366, 0.500) and Rh at (0.163, 0.663, 0.000).

Entry 3:
This record from the Alexandria database describes crystalline La4In2Rh at its relaxed geometry. The functional is PBE.

It has space group Cmmm (No. 65), with a = 8.647 Å, b = 9.321 Å, c = 4.998 Å, α = 90.00°, β = 90.00° and γ = 90.00°. The inequivalent atoms are La at (0.171, 0.000, 0.000), La at (0.250, 0.250, 0.500), In at (0.000, 0.331, 0.000) and Rh at (0.000, 0.500, 0.500).

The value obtained for the energy relative to the lowest polymorph listed for this composition is 0.38 eV per formula unit.

Entry 4:
This record from the Alexandria database describes crystalline LaIn2Rh2 at its relaxed geometry. The functional is PBE.

It has space group P2_1/m (No. 11), with a = 5.200 Å, b = 4.740 Å, c = 9.249 Å, α = 90.00°, β = 102.87° and γ = 90.00°. The inequivalent atoms are La at (0.202, 0.250, 0.274), In at (0.241, 0.250, 0.637), In at (0.343, 0.750, 0.017), Rh at (0.121, 0.250, 0.910) and Rh at (0.311, 0.750, 0.486).

Entry 5:
This record from the Alexandria database describes crystalline La4In3Rh at its relaxed geometry. The functional is PBE.

It has space group P4/mmm (No. 123), with a = 3.668 Å, b = 3.668 Å, c = 17.137 Å, α = 90.00°, β = 90.00° and γ = 90.00°. The inequivalent atoms are La at (0.000, 0.000, 0.099), La at (0.000, 0.000, 0.367), In at (0.500, 0.500, 0.238), In at (0.500, 0.500, 0.500) and Rh at (0.500, 0.500, 0.000).

Entry 6:
This record from the Alexandria database describes crystalline La2In5Rh3 at its relaxed geometry. The functional is PBE.

It has space group Cmc2_1 (No. 36), with a = 4.551 Å, b = 26.796 Å, c = 7.417 Å, α = 90.00°, β = 90.00° and γ = 90.00°. The inequivalent atoms are La at (0.000, 0.028, 0.000), La at (0.000, 0.325, 0.899), In at (0.000, 0.098, 0.610), In at (0.000, 0.206, 0.091), In at (0.000, 0.210, 0.693), In at (0.000, 0.371, 0.448), In at (0.000, 0.447, 0.830), Rh at (0.000, 0.109, 0.227), Rh at (0.000, 0.269, 0.388) and Rh at (0.000, 0.454, 0.213).

Entry 7:
This record from the Alexandria database describes crystalline LaInRuRh2 at its relaxed geometry. The functional is PBE.

It has space group P4/mmm (No. 123), with a = 4.929 Å, b = 4.929 Å, c = 4.939 Å, α = 90.00°, β = 90.00° and γ = 90.00°. The inequivalent atoms are La at (0.000, 0.000, 0.000), In at (0.500, 0.500, 0.500), Ru at (0.000, 0.000, 0.500) and Rh at (0.000, 0.500, 0.000).

Entry 8:
This record from the Alexandria database describes crystalline La2In6RuRh at its relaxed geometry. The functional is PBE.

It has space group Immm (No. 71), with a = 7.219 Å, b = 7.252 Å, c = 10.225 Å, α = 90.00°, β = 90.00° and γ = 90.00°. The inequivalent atoms are La at (0.000, 0.000, 0.250), In at (0.000, 0.500, 0.250), In at (0.250, 0.250, 0.000), Ru at (0.000, 0.500, 0.000) and Rh at (0.000, 0.500, 0.500).

Number 1: ΔH_f (0 K) -6.6 eV per formula unit, calculated total energy -4.34 eV/atom. Number 2: ΔH_f (0 K) -2.5 eV per formula unit, calculated total energy -5.52 eV/atom. Number 3: ΔH_f (0 K) -2.4 eV per formula unit, calculated total energy -4.99 eV/atom. Number 4: ΔH_f (0 K) -2.8 eV per formula unit, calculated total energy -5.58 eV/atom. Number 5: ΔH_f (0 K) -4.3 eV per formula unit, calculated total energy -4.95 eV/atom. Number 6: ΔH_f (0 K) -5.9 eV per formula unit, calculated total energy -5.15 eV/atom. Number 7: ΔH_f (0 K) 5.4 eV per formula unit, calculated total energy -5.25 eV/atom. Number 8: ΔH_f (0 K) -2.6 eV per formula unit, calculated total energy -4.55 eV/atom.